No. 1
First-principles (PBE-GGA) data for Dy4Tm3Th2 after structural relaxation, as listed in Alexandria.

Volume = 31.3 A^3/atom
Energy of formation = 0.12 eV per atom
Space group = No. 15
Uncorrected energy = -5.0684 eV per atom
DOS at the Fermi energy = 24.7 states/eV per cell

Structure (CIF):
```
data_Dy4Tm3Th2
_space_group_name_H-M_alt 'P 1'
_space_group_IT_number 1
_cell_length_a 6.096
_cell_length_b 9.909
_cell_length_c 9.909
_cell_angle_alpha 71.92
_cell_angle_beta 84.04
_cell_angle_gamma 84.04
loop_
_space_group_symop_operation_xyz
'x,y,z'
loop_
_atom_site_label
_atom_site_type_symbol
_atom_site_fract_x
_atom_site_fract_y
_atom_site_fract_z
Tm1 Tm 0.250 0.392 0.608
Tm2 Tm 0.086 0.937 0.728
Th1 Th 0.186 0.752 0.473
Dy1 Dy 0.845 0.420 0.146
Dy2 Dy 0.655 0.854 0.580
Dy3 Dy 0.345 0.146 0.420
Dy4 Dy 0.155 0.580 0.854
Dy5 Dy 0.483 0.911 0.187
Dy6 Dy 0.017 0.813 0.089
Th2 Th 0.314 0.527 0.248
Tm3 Tm 0.586 0.728 0.937
Dy7 Dy 0.983 0.187 0.911
Tm4 Tm 0.750 0.608 0.392
Th3 Th 0.814 0.248 0.527
Dy8 Dy 0.517 0.089 0.813
Th4 Th 0.686 0.473 0.752
Tm5 Tm 0.914 0.063 0.272
Tm6 Tm 0.414 0.272 0.063
```

---

No. 2
First-principles (PBE-GGA) data for Tm2Zn3Ni after structural relaxation, as listed in Alexandria.

Volume = 18.9 A^3/atom
Energy of formation = -0.39 eV per atom
Space group = No. 25
Uncorrected energy = -3.4852 eV per atom
DOS at the Fermi energy = 4.5 states/eV per cell

Structure (CIF):
```
data_Tm2Zn3Ni
_space_group_name_H-M_alt 'P 1'
_space_group_IT_number 1
_cell_length_a 3.492
_cell_length_b 4.303
_cell_length_c 7.551
_cell_angle_alpha 90.00
_cell_angle_beta 90.00
_cell_angle_gamma 90.00
loop_
_space_group_symop_operation_xyz
'x,y,z'
loop_
_atom_site_label
_atom_site_type_symbol
_atom_site_fract_x
_atom_site_fract_y
_atom_site_fract_z
Ni1 Ni 0.500 0.500 0.333
Tm1 Tm 0.000 0.000 0.478
Zn1 Zn 0.500 0.000 0.832
Tm2 Tm 0.000 0.500 0.029
Zn2 Zn 0.500 0.500 0.662
Zn3 Zn 0.500 0.000 0.166
```

---

No. 3
First-principles (PBE-GGA) data for Rb2GeTeI6 after structural relaxation, as listed in Alexandria.

Volume = 44.6 A^3/atom
Space group = No. 139
Uncorrected energy = -2.5413 eV per atom
DOS at the Fermi energy = 4.2 states/eV per cell
ΔE_f (raw) = -0.64 eV/atom

Structure (CIF):
```
data_Rb2GeTeI6
_space_group_name_H-M_alt 'P 1'
_space_group_IT_number 1
_cell_length_a 8.504
_cell_length_b 8.504
_cell_length_c 8.613
_cell_angle_alpha 60.42
_cell_angle_beta 60.42
_cell_angle_gamma 90.00
loop_
_space_group_symop_operation_xyz
'x,y,z'
loop_
_atom_site_label
_atom_site_type_symbol
_atom_site_fract_x
_atom_site_fract_y
_atom_site_fract_z
Rb1 Rb 0.750 0.250 0.500
Ge1 Ge 0.500 0.500 0.000
I1 I 0.744 0.256 0.000
I2 I 0.262 0.262 0.476
Te1 Te 0.000 0.000 0.000
I3 I 0.738 0.738 0.524
I4 I 0.256 0.256 0.000
I5 I 0.256 0.744 0.000
I6 I 0.744 0.744 0.000
Rb2 Rb 0.250 0.750 0.500
```

---

No. 4
First-principles (PBE-GGA) data for AgI after structural relaxation, as listed in Alexandria.

Volume = 73.2 A^3/atom
Space group = No. 191
Uncorrected energy = -2.1090 eV per atom
DOS at the Fermi energy = 0.0 states/eV per cell
ΔE_f (raw) = 0.09 eV/atom

Structure (CIF):
```
data_AgI
_space_group_name_H-M_alt 'P 1'
_space_group_IT_number 1
_cell_length_a 5.657
_cell_length_b 5.657
_cell_length_c 5.282
_cell_angle_alpha 90.00
_cell_angle_beta 90.00
_cell_angle_gamma 120.00
loop_
_space_group_symop_operation_xyz
'x,y,z'
loop_
_atom_site_label
_atom_site_type_symbol
_atom_site_fract_x
_atom_site_fract_y
_atom_site_fract_z
I1 I 0.000 0.000 0.585
Ag1 Ag 0.000 0.000 0.085
```

---

No. 5
First-principles (PBE-GGA) data for BeP2Pt after structural relaxation, as listed in Alexandria.

Volume = 14.2 A^3/atom
Energy of formation = -0.07 eV per atom
Space group = No. 6
Uncorrected energy = -5.2183 eV per atom
DOS at the Fermi energy = 0.4 states/eV per cell

Structure (CIF):
```
data_BeP2Pt
_space_group_name_H-M_alt 'P 1'
_space_group_IT_number 1
_cell_length_a 3.073
_cell_length_b 3.611
_cell_length_c 5.425
_cell_angle_alpha 70.94
_cell_angle_beta 90.00
_cell_angle_gamma 90.00
loop_
_space_group_symop_operation_xyz
'x,y,z'
loop_
_atom_site_label
_atom_site_type_symbol
_atom_site_fract_x
_atom_site_fract_y
_atom_site_fract_z
P1 P 0.500 0.409 0.166
Be1 Be 0.500 0.718 0.725
P2 P 0.000 0.083 0.032
Pt1 Pt 0.000 0.291 0.578
```

---

No. 6
First-principles (PBE-GGA) data for Hf9Zr4In11 after structural relaxation, as listed in Alexandria.

Volume = 22.0 A^3/atom
Energy of formation = -0.14 eV per atom
Space group = No. 65
Uncorrected energy = -6.5484 eV per atom
DOS at the Fermi energy = 18.0 states/eV per cell

Structure (CIF):
```
data_Hf9Zr4In11
_space_group_name_H-M_alt 'P 1'
_space_group_IT_number 1
_cell_length_a 3.094
_cell_length_b 13.053
_cell_length_c 13.053
_cell_angle_alpha 91.33
_cell_angle_beta 90.00
_cell_angle_gamma 90.00
loop_
_space_group_symop_operation_xyz
'x,y,z'
loop_
_atom_site_label
_atom_site_type_symbol
_atom_site_fract_x
_atom_site_fract_y
_atom_site_fract_z
Hf1 Hf 0.500 0.375 0.871
In1 In 0.000 0.758 0.758
Zr1 Zr 0.500 0.551 0.719
Hf2 Hf 0.500 0.794 0.964
Hf3 Hf 0.500 0.206 0.036
In2 In 0.000 0.172 0.828
In3 In 0.000 0.349 0.651
In4 In 0.000 0.414 0.077
Hf4 Hf 0.500 0.625 0.129
In5 In 0.000 0.651 0.349
In6 In 0.000 0.586 0.923
Hf5 Hf 0.500 0.964 0.794
In7 In 0.000 0.077 0.414
In8 In 0.000 0.828 0.172
Zr2 Zr 0.500 0.281 0.449
In9 In 0.000 0.000 0.000
Zr3 Zr 0.500 0.719 0.551
In10 In 0.000 0.923 0.586
Zr4 Zr 0.500 0.449 0.281
Hf6 Hf 0.500 0.036 0.206
In11 In 0.000 0.242 0.242
Hf7 Hf 0.500 0.500 0.500
Hf8 Hf 0.500 0.871 0.375
Hf9 Hf 0.500 0.129 0.625
```

---

No. 7
First-principles (PBE-GGA) data for ScRh3 after structural relaxation, as listed in Alexandria.

Volume = 15.2 A^3/atom
Energy of formation = -0.61 eV per atom
Space group = No. 221
Uncorrected energy = -7.7106 eV per atom
DOS at the Fermi energy = 4.8 states/eV per cell

Structure (CIF):
```
data_ScRh3
_space_group_name_H-M_alt 'P 1'
_space_group_IT_number 1
_cell_length_a 3.932
_cell_length_b 3.932
_cell_length_c 3.930
_cell_angle_alpha 90.00
_cell_angle_beta 90.00
_cell_angle_gamma 90.00
loop_
_space_group_symop_operation_xyz
'x,y,z'
loop_
_atom_site_label
_atom_site_type_symbol
_atom_site_fract_x
_atom_site_fract_y
_atom_site_fract_z
Rh1 Rh 0.000 0.500 0.583
Rh2 Rh 0.000 0.000 0.083
Sc1 Sc 0.500 0.000 0.583
Rh3 Rh 0.500 0.500 0.083
```

---

No. 8
First-principles (PBE-GGA) data for Tb9Dy11Ho4 after structural relaxation, as listed in Alexandria.

Volume = 31.7 A^3/atom
Energy of formation = 0.05 eV per atom
Space group = No. 65
Uncorrected energy = -4.5583 eV per atom
DOS at the Fermi energy = 29.8 states/eV per cell

Structure (CIF):
```
data_Tb9Dy11Ho4
_space_group_name_H-M_alt 'P 1'
_space_group_IT_number 1
_cell_length_a 3.647
_cell_length_b 15.055
_cell_length_c 15.055
_cell_angle_alpha 112.97
_cell_angle_beta 90.00
_cell_angle_gamma 90.00
loop_
_space_group_symop_operation_xyz
'x,y,z'
loop_
_atom_site_label
_atom_site_type_symbol
_atom_site_fract_x
_atom_site_fract_y
_atom_site_fract_z
Tb1 Tb 0.500 0.786 0.932
Ho1 Ho 0.500 0.244 0.446
Tb2 Tb 0.500 0.164 0.632
Dy1 Dy 0.000 0.367 0.633
Ho2 Ho 0.500 0.756 0.554
Tb3 Tb 0.500 0.836 0.368
Ho3 Ho 0.500 0.554 0.756
Tb4 Tb 0.500 0.632 0.164
Tb5 Tb 0.500 0.068 0.214
Dy2 Dy 0.000 0.593 0.955
Tb6 Tb 0.500 0.368 0.836
Tb7 Tb 0.500 0.932 0.786
Dy3 Dy 0.000 0.955 0.593
Dy4 Dy 0.000 0.633 0.367
Tb8 Tb 0.500 0.214 0.068
Dy5 Dy 0.000 0.708 0.708
Ho4 Ho 0.500 0.446 0.244
Dy6 Dy 0.000 0.292 0.292
Dy7 Dy 0.000 0.000 0.000
Dy8 Dy 0.000 0.407 0.045
Tb9 Tb 0.500 0.500 0.500
Dy9 Dy 0.000 0.160 0.840
Dy10 Dy 0.000 0.045 0.407
Dy11 Dy 0.000 0.840 0.160
```